Record 1
# GGA-PBEsol HfTc3Ni, optimized geometry
# calculated total energy = -9.0309 eV per atom
# E above lowest polymorph = 0.000 eV/atom
# ΔH_f (0 K) = 1.061 eV/atom
data_HfTc3Ni
_space_group_name_H-M_alt 'P m -3 m'
_space_group_IT_number 221
_space_group_name_Hall '-P 4 2 3'
_cell_length_a 4.3736
_cell_length_b 4.3736
_cell_length_c 4.3736
_cell_angle_alpha 90.00
_cell_angle_beta 90.00
_cell_angle_gamma 90.00
loop_
_atom_site_label
_atom_site_fract_x
_atom_site_fract_y
_atom_site_fract_z
Hf1 0.0000 0.0000 0.0000
Tc1 0.0000 0.5000 0.5000
Ni1 0.5000 0.5000 0.5000

=====

Record 2
# GGA-PBEsol Sr5Mn2N6, optimized geometry
# calculated total energy = -6.9670 eV per atom
# formation energy (no corrections) = -0.822 eV per atom
data_Sr5Mn2N6
_space_group_name_H-M_alt 'C 1 2/c 1'
_space_group_IT_number 15
_space_group_name_Hall '-C 2yc'
_cell_length_a 10.1234
_cell_length_b 6.4934
_cell_length_c 13.2881
_cell_angle_alpha 90.00
_cell_angle_beta 102.09
_cell_angle_gamma 90.00
loop_
_atom_site_label
_atom_site_fract_x
_atom_site_fract_y
_atom_site_fract_z
Sr1 0.0000 0.1152 0.2500
Sr2 0.0683 0.2379 0.9970
Sr3 0.1583 0.4092 0.7201
Mn1 0.2257 0.3645 0.4297
N1 0.0619 0.4475 0.3740
N2 0.1514 0.0472 0.6394
N3 0.2218 0.0698 0.4336

=====

Record 3
# GGA-PBEsol MgCr3Ni, optimized geometry
# calculated total energy = -6.4981 eV per atom
# ΔH_f (0 K) = 1.222 eV/atom
data_MgCr3Ni
_space_group_name_H-M_alt 'P m -3 m'
_space_group_IT_number 221
_space_group_name_Hall '-P 4 2 3'
_cell_length_a 4.5028
_cell_length_b 4.5028
_cell_length_c 4.5028
_cell_angle_alpha 90.00
_cell_angle_beta 90.00
_cell_angle_gamma 90.00
loop_
_atom_site_label
_atom_site_fract_x
_atom_site_fract_y
_atom_site_fract_z
Mg1 0.0000 0.0000 0.0000
Cr1 0.0000 0.5000 0.5000
Ni1 0.5000 0.5000 0.5000

=====

Record 4
# GGA-PBEsol Ba2ZrAgHg, optimized geometry
# calculated total energy = -2.9875 eV per atom
# ΔH_f (0 K) = 0.466 eV/atom
data_Ba2ZrAgHg
_space_group_name_H-M_alt 'P 4/m m m'
_space_group_IT_number 123
_space_group_name_Hall '-P 4 2'
_cell_length_a 6.2489
_cell_length_b 6.2489
_cell_length_c 5.1730
_cell_angle_alpha 90.00
_cell_angle_beta 90.00
_cell_angle_gamma 90.00
loop_
_atom_site_label
_atom_site_fract_x
_atom_site_fract_y
_atom_site_fract_z
Ba1 0.0000 0.5000 0.0000
Zr1 0.0000 0.0000 0.5000
Ag1 0.0000 0.0000 0.0000
Hg1 0.5000 0.5000 0.5000

=====

Record 5
# GGA-PBEsol Zn2CuAu, optimized geometry
# calculated total energy = -2.9713 eV per atom
# ΔH_f (0 K) = -0.116 eV/atom
data_Zn2CuAu
_space_group_name_H-M_alt 'P m m 2'
_space_group_IT_number 25
_space_group_name_Hall 'P 2 -2'
_cell_length_a 2.8342
_cell_length_b 3.5519
_cell_length_c 5.5479
_cell_angle_alpha 90.00
_cell_angle_beta 90.00
_cell_angle_gamma 90.00
loop_
_atom_site_label
_atom_site_fract_x
_atom_site_fract_y
_atom_site_fract_z
Zn1 0.0000 0.0000 0.0000
Zn2 0.5000 0.5000 0.2573
Cu1 0.5000 0.5000 0.7867
Au1 0.0000 0.0000 0.5145

=====

Record 6
# GGA-PBEsol NaH9O5, optimized geometry
# calculated total energy = -4.9584 eV per atom
# E above lowest polymorph = 0.012 eV/atom
data_NaH9O5
_space_group_name_H-M_alt 'P 21 21 21'
_space_group_IT_number 19
_space_group_name_Hall 'P 2ac 2ab'
_cell_length_a 5.7992
_cell_length_b 6.6007
_cell_length_c 12.1891
_cell_angle_alpha 90.00
_cell_angle_beta 90.00
_cell_angle_gamma 90.00
loop_
_atom_site_label
_atom_site_fract_x
_atom_site_fract_y
_atom_site_fract_z
Na1 0.0026 0.1606 0.2528
H1 0.0734 0.9201 0.0511
H2 0.0840 0.9146 0.4485
H3 0.1351 0.5481 0.8088
H4 0.1358 0.3011 0.5789
H5 0.1411 0.5444 0.6739
H6 0.1555 0.3002 0.9169
H7 0.1670 0.0115 0.9021
H8 0.1813 0.0121 0.6027
H9 0.2327 0.4957 0.9899
O1 0.0798 0.4360 0.5555
O2 0.0921 0.4347 0.9415
O3 0.1719 0.9171 0.1212
O4 0.1869 0.9102 0.3819
O5 0.2147 0.6010 0.7426